(1)
The following is a PBE calculation of crystalline Cs2SrAu at its relaxed geometry, from the Alexandria database.

Properties
Formation energy (kJ/mol of atoms): -9.3
E above lowest polymorph (meV per atom): 0

abc: 9.7127 9.7127 9.7127
angles: 96.10 96.10 141.94
With the nearest neighbours (Å) after each atom.
Fractional coordinates of all 8 atoms:
1 Cs 0.3750 0.2409 0.3659  2 Au 3.66
2 Cs 0.7591 0.1250 0.1341  2 Au 3.66
3 Cs 0.8750 0.0091 0.6341  2 Au 3.66
4 Cs 0.9909 0.6250 0.8659  2 Au 3.66
5 Sr 0.2500 0.7500 0.5000  2 Au 3.17
6 Sr 0.5000 0.5000 0.0000  2 Au 3.17
7 Au 0.0000 0.0000 0.0000  2 Sr 3.17
8 Au 0.7500 0.2500 0.5000  2 Sr 3.17

***

(2)
The following is a PBE calculation of crystalline Cs2Sr4Au at its relaxed geometry, from the Alexandria database.

Properties
Formation energy (kJ/mol of atoms): -10.7

abc: 12.8049 12.8049 12.8049
angles: 151.66 151.66 40.51
With the nearest neighbours (Å) after each atom.
Fractional coordinates of all 7 atoms:
1 Cs 0.1755 0.1755 0.0000  5 Sr 4.59-4.77
2 Cs 0.8245 0.8245 0.0000  5 Sr 4.59-4.77
3 Sr 0.0000 0.5000 0.5000  2 Au 3.13
4 Sr 0.3742 0.3742 0.0000  1 Au 3.02
5 Sr 0.5000 0.0000 0.5000  2 Au 3.13
6 Sr 0.6258 0.6258 0.0000  1 Au 3.02
7 Au 0.5000 0.5000 0.0000  6 Sr 3.02-3.13

***

(3)
The following is a PBE calculation of crystalline Cs2SrAu at its relaxed geometry, from the Alexandria database.

Properties
Formation energy (kJ/mol of atoms): 18.0
E above lowest polymorph (meV per atom): 282

abc: 6.9131 6.9131 6.9131
angles: 60.00 60.00 60.00
With the nearest neighbours (Å) after each atom.
Fractional coordinates of all 4 atoms:
1 Cs 0.2500 0.2500 0.2500  4 Sr 4.23, 4 Au 4.23
2 Cs 0.7500 0.7500 0.7500  4 Sr 4.23, 4 Au 4.23
3 Sr 0.0000 0.0000 0.0000  8 Cs 4.23
4 Au 0.5000 0.5000 0.5000  8 Cs 4.23

***

| no. | DOS(E_F) (states/eV/cell) | total moment (μB per formula unit) |
| --- | --- | --- |
| 1 | 10.80 | 0.0 |
| 2 | 6.80 | 0.0 |
| 3 | 3.69 | 0.0 |